Entry 1:
A plane-wave DFT calculation with PBE-GGA was carried out for Y2Tl after structural relaxation.

```
3
Lattice="5.165 0.000 0.000 0.000 5.165 0.000 0.000 0.000 3.728" Properties=species:S:1:pos:R:3 pbc="T T T"
Y 0.000 2.582 0.000
Y 2.582 0.000 0.000
Tl 0.000 0.000 1.864
```

Computed properties:
* crystal system: tetragonal
* symmetry: No. 123
* E_tot: -5.1034 eV per atom
* E_form: -0.016 eV per formula unit
* V: 33.15 Å³ per atom
* DOS at the Fermi energy: 1.183 states/eV/atom
* theoretical density: 6.4 g/cm³

---

Entry 2:
A plane-wave DFT calculation with PBE-GGA was carried out for Y2Tl after structural relaxation.

```
6
Lattice="-1.756 1.756 14.782 1.756 -1.756 14.782 1.756 1.756 -14.782" Properties=species:S:1:pos:R:3 pbc="T T T"
Y 1.756 0.878 1.553
Y 1.756 0.878 5.838
Y 0.000 0.878 8.944
Y 0.000 0.878 13.229
Tl 1.756 -0.878 11.086
Tl 0.000 2.633 3.695
```

Computed properties:
* crystal system: tetragonal
* symmetry: No. 141
* E_tot: -5.1897 eV per atom
* E_form: -0.275 eV per formula unit
* V: 30.37 Å³ per atom
* DOS at the Fermi energy: 1.001 states/eV/atom
* theoretical density: 7.0 g/cm³

---

Entry 3:
A plane-wave DFT calculation with PBE-GGA was carried out for Y2Tl after structural relaxation.

```
12
Lattice="6.885 0.000 0.000 0.000 5.078 0.000 0.000 0.000 9.992" Properties=species:S:1:pos:R:3 pbc="T T T"
Y 0.334 1.270 2.048
Y 1.165 1.270 5.604
Y 2.278 3.809 0.608
Y 3.109 3.809 7.044
Y 3.776 1.270 2.949
Y 4.607 1.270 9.384
Y 5.720 3.809 4.388
Y 6.551 3.809 7.945
Tl 1.438 1.270 8.799
Tl 2.004 3.809 3.803
Tl 4.880 1.270 6.189
Tl 5.447 3.809 1.193
```

Computed properties:
* crystal system: orthorhombic
* symmetry: No. 62
* E_tot: -5.4058 eV per atom
* E_form: -0.923 eV per formula unit
* V: 29.11 Å³ per atom
* DOS at the Fermi energy: 1.140 states/eV/atom
* theoretical density: 7.3 g/cm³

---

Entry 4:
A plane-wave DFT calculation with PBE-GGA was carried out for Y4Tl after structural relaxation.

```
5
Lattice="5.751 0.000 0.000 0.000 5.751 0.000 0.000 0.000 5.751" Properties=species:S:1:pos:R:3 pbc="T T T"
Y 0.000 0.000 0.000
Y 0.000 2.876 2.876
Y 2.876 0.000 2.876
Y 2.876 2.876 0.000
Tl 2.876 2.876 2.876
```

Computed properties:
* crystal system: cubic
* symmetry: No. 221
* energy relative to the lowest polymorph listed for this composition: 473 meV/atom
* E_tot: -5.2768 eV per atom
* E_form: 1.839 eV per formula unit
* V: 38.05 Å³ per atom
* DOS at the Fermi energy: 1.771 states/eV/atom
* theoretical density: 4.9 g/cm³

---

Entry 5:
A plane-wave DFT calculation with PBE-GGA was carried out for YTl5 after structural relaxation.

```
6
Lattice="6.182 0.000 0.000 -3.091 5.354 0.000 0.000 0.000 5.814" Properties=species:S:1:pos:R:3 pbc="T T T"
Y 0.000 0.000 0.000
Tl -1.546 2.677 2.907
Tl 0.000 3.569 0.000
Tl 3.091 0.000 2.907
Tl 1.546 2.677 2.907
Tl 3.091 1.785 0.000
```

Computed properties:
* crystal system: hexagonal
* symmetry: No. 191
* energy relative to the lowest polymorph listed for this composition: 240 meV/atom
* E_tot: -2.8817 eV per atom
* E_form: 1.005 eV per formula unit
* V: 32.07 Å³ per atom
* DOS at the Fermi energy: 0.846 states/eV/atom
* theoretical density: 9.6 g/cm³

---

Entry 6:
A plane-wave DFT calculation with PBE-GGA was carried out for Y5Tl after structural relaxation.

```
6
Lattice="0.000 4.579 4.579 4.579 0.000 4.579 4.579 4.579 0.000" Properties=species:S:1:pos:R:3 pbc="T T T"
Y 0.000 0.000 0.000
Y 5.731 3.427 3.427
Y 3.427 5.731 3.427
Y 3.427 3.427 5.731
Y 5.731 5.731 5.731
Tl 2.290 2.290 2.290
```

Computed properties:
* crystal system: cubic
* symmetry: No. 216
* energy relative to the lowest polymorph listed for this composition: 344 meV/atom
* E_tot: -5.5550 eV per atom
* E_form: 1.356 eV per formula unit
* V: 32.00 Å³ per atom
* DOS at the Fermi energy: 1.287 states/eV/atom
* theoretical density: 5.6 g/cm³

---

Entry 7:
A plane-wave DFT calculation with PBE-GGA was carried out for Y4Tl after structural relaxation.

```
10
Lattice="0.000 8.127 3.120 5.992 0.000 3.120 5.992 8.127 0.000" Properties=species:S:1:pos:R:3 pbc="T T T"
Y 5.363 1.626 3.115
Y 2.367 2.437 1.555
Y 6.461 4.887 3.120
Y 3.625 5.690 1.555
Y 8.519 8.951 4.680
Y 5.523 11.367 3.120
Y 6.622 14.628 3.115
Y 9.457 15.430 4.680
Tl 5.992 8.127 2.887
Tl 8.988 12.190 4.447
```

Computed properties:
* crystal system: orthorhombic
* symmetry: No. 43
* energy relative to the lowest polymorph listed for this composition: 21 meV/atom
* E_tot: -5.7290 eV per atom
* E_form: -0.422 eV per formula unit
* V: 30.39 Å³ per atom
* DOS at the Fermi energy: 1.283 states/eV/atom
* theoretical density: 6.1 g/cm³

---

Entry 8:
A plane-wave DFT calculation with PBE-GGA was carried out for Y3Tl after structural relaxation.

```
4
Lattice="0.000 3.881 3.881 3.881 0.000 3.881 3.881 3.881 0.000" Properties=species:S:1:pos:R:3 pbc="T T T"
Y 0.000 0.000 0.000
Y 1.941 1.941 1.941
Y 5.822 5.822 5.822
Tl 3.881 3.881 3.881
```

Computed properties:
* crystal system: cubic
* symmetry: No. 225
* E_tot: -5.4778 eV per atom
* E_form: -0.153 eV per formula unit
* V: 29.24 Å³ per atom
* DOS at the Fermi energy: 1.259 states/eV/atom
* theoretical density: 6.7 g/cm³